Below is a relaxed SrPCI2 crystal, with properties calculated at the GGA-PBE level.

a b c (Å): 5.4832 5.4832 5.9134
angles (deg): 90.00 90.00 90.00
With the nearest neighbours (Å) after each atom.
Space group P4/mmm (No. 123)
Symmetry-distinct sites (fractional):
Sr (0.0000, 0.0000, 0.0000) x1  2 P 2.96
P (0.0000, 0.0000, 0.5000) x1  4 I 2.74, 2 Sr 2.96
C (0.5000, 0.5000, 0.0000) x1  4 Sr 3.88, 8 I 4.03
I (0.0000, 0.5000, 0.5000) x2  2 P 2.74

Output
Energy relative to the elements, uncorrected = 0.97 eV per atom
Crystal system = tetragonal
Final energy = -14.55 eV per cell
Volume = 178 Å³ per cell